# 1
! Sb2MoSe meta-GGA SCAN PBEsol geometry; values from VASP
! * space-group type: P2_1/c, No. 14
! * raw formation energy: -0.266 eV per atom
&SYSTEM
  ibrav = 0, nat = 32, ntyp = 3
/
ATOMIC_SPECIES
Sb 121.76 Sb.upf
Mo 95.94 Mo.upf
Se 78.96 Se.upf
ATOMIC_POSITIONS angstrom
Sb 0.382 0.805 1.376
Sb -0.360 2.415 10.505
Sb 0.382 4.023 1.378
Sb -0.361 5.636 10.507
Sb 1.009 0.677 4.175
Sb 0.267 2.542 13.303
Sb 1.006 4.147 4.177
Sb 0.263 5.511 13.306
Sb 4.790 0.928 4.951
Sb 4.047 2.292 14.080
Sb 4.787 3.897 4.954
Sb 4.044 5.762 14.082
Sb 5.414 0.803 7.750
Sb 4.671 2.416 16.879
Sb 5.414 4.024 7.753
Sb 4.671 5.635 16.881
Mo 1.400 4.026 9.021
Mo 0.657 5.633 18.150
Mo 1.402 0.803 9.024
Mo 0.659 2.417 18.152
Mo 4.394 4.022 0.105
Mo 3.651 5.637 9.233
Mo 4.396 0.806 0.107
Mo 3.653 2.413 9.236
Se 1.356 0.806 16.398
Se 2.099 2.413 7.270
Se 1.356 4.024 16.396
Se 2.099 5.635 7.267
Se 2.954 0.805 10.990
Se 3.697 2.415 1.861
Se 2.955 4.026 10.987
Se 3.698 5.633 1.859
CELL_PARAMETERS angstrom
6.539 0.000 0.000
0.000 6.439 0.000
-1.486 0.000 18.257

# 2
! Mg2TlIn meta-GGA SCAN PBEsol geometry; values from VASP
! * space-group type: R-3m, No. 166
! * formation energy from the elements: -0.127 eV per atom
&SYSTEM
  ibrav = 0, nat = 12, ntyp = 3
/
ATOMIC_SPECIES
Mg 24.30 Mg.upf
Tl 204.38 Tl.upf
In 114.82 In.upf
ATOMIC_POSITIONS angstrom
Mg 0.000 0.000 7.052
Mg 0.000 0.000 21.167
Mg 0.000 1.961 11.761
Mg 0.000 1.961 25.864
Mg 1.698 0.980 2.354
Mg 1.698 0.980 16.458
Tl 0.000 0.000 0.000
Tl 0.000 1.961 18.812
Tl 1.698 0.980 9.406
In 0.000 0.000 14.109
In 0.000 1.961 4.703
In 1.698 0.980 23.516
CELL_PARAMETERS angstrom
3.396 0.000 0.000
-1.698 2.941 0.000
0.000 0.000 28.219

# 3
! CaMg meta-GGA SCAN PBEsol geometry; values from VASP
! * space-group type: Cm, No. 8
! * formation energy from the elements: -0.030 eV per atom
&SYSTEM
  ibrav = 0, nat = 12, ntyp = 2
/
ATOMIC_SPECIES
Ca 40.08 Ca.upf
Mg 24.30 Mg.upf
ATOMIC_POSITIONS angstrom
Ca 0.000 0.000 0.000
Ca -0.912 0.000 3.561
Ca 0.664 1.940 6.223
Ca 6.421 1.940 0.000
Ca 5.508 1.940 3.561
Ca 7.085 0.000 6.223
Mg 1.726 1.940 2.469
Mg 3.862 0.000 1.379
Mg 2.966 0.000 4.667
Mg 8.146 0.000 2.469
Mg 10.282 1.940 1.379
Mg 9.386 1.940 4.667
CELL_PARAMETERS angstrom
12.841 0.000 0.000
0.000 3.881 0.000
-2.293 0.000 7.382

# 4
! NaCaAsBr2 meta-GGA SCAN PBEsol geometry; values from VASP
! * space-group type: P4/mmm, No. 123
! * raw formation energy: -0.704 eV per atom
&SYSTEM
  ibrav = 0, nat = 5, ntyp = 4
/
ATOMIC_SPECIES
Na 22.99 Na.upf
Ca 40.08 Ca.upf
As 74.92 As.upf
Br 79.90 Br.upf
ATOMIC_POSITIONS angstrom
Na 0.000 0.000 0.000
Ca 2.590 2.590 2.719
As 0.000 0.000 2.719
Br 0.000 2.590 0.000
Br 2.590 0.000 0.000
CELL_PARAMETERS angstrom
5.179 0.000 0.000
0.000 5.179 0.000
0.000 0.000 5.437

# 5
! LiCdTe meta-GGA SCAN PBEsol geometry; values from VASP
! * space-group type: F-43m, No. 216
! * polymorph energy (0 for the lowest one): 0 meV per atom
! * raw formation energy: -0.342 eV per atom
&SYSTEM
  ibrav = 0, nat = 12, ntyp = 3
/
ATOMIC_SPECIES
Li 6.94 Li.upf
Cd 112.41 Cd.upf
Te 127.60 Te.upf
ATOMIC_POSITIONS angstrom
Li 0.000 0.000 0.000
Li 0.000 3.492 3.492
Li 3.492 0.000 3.492
Li 3.492 3.492 0.000
Cd 0.000 0.000 3.492
Cd 0.000 3.492 0.000
Cd 3.492 0.000 0.000
Cd 3.492 3.492 3.492
Te 1.746 1.746 1.746
Te 1.746 5.237 5.237
Te 5.237 1.746 5.237
Te 5.237 5.237 1.746
CELL_PARAMETERS angstrom
6.983 0.000 0.000
0.000 6.983 0.000
0.000 0.000 6.983

# 6
! GeMo3Br meta-GGA SCAN PBEsol geometry; values from VASP
! * space-group type: Pm-3m, No. 221
! * raw formation energy: 1.809 eV per atom
&SYSTEM
  ibrav = 0, nat = 5, ntyp = 3
/
ATOMIC_SPECIES
Ge 72.64 Ge.upf
Mo 95.94 Mo.upf
Br 79.90 Br.upf
ATOMIC_POSITIONS angstrom
Ge 0.000 0.000 0.000
Mo 0.000 2.272 2.272
Mo 2.272 0.000 2.272
Mo 2.272 2.272 0.000
Br 2.272 2.272 2.272
CELL_PARAMETERS angstrom
4.544 0.000 0.000
0.000 4.544 0.000
0.000 0.000 4.544

# 7
! ZnCu2Mo meta-GGA SCAN PBEsol geometry; values from VASP
! * space-group type: I-4m2, No. 119
! * formation energy from the elements: 0.324 eV per atom
&SYSTEM
  ibrav = 0, nat = 8, ntyp = 3
/
ATOMIC_SPECIES
Zn 65.41 Zn.upf
Cu 63.55 Cu.upf
Mo 95.94 Mo.upf
ATOMIC_POSITIONS angstrom
Zn 0.000 0.000 0.000
Zn 1.953 1.953 3.396
Cu 0.000 0.000 3.396
Cu 0.000 1.953 5.094
Cu 1.953 0.000 1.698
Cu 1.953 1.953 0.000
Mo 0.000 1.953 1.698
Mo 1.953 0.000 5.094
CELL_PARAMETERS angstrom
3.906 0.000 0.000
0.000 3.906 0.000
0.000 0.000 6.792

# 8
! K3Ta3B2O12 meta-GGA SCAN PBEsol geometry; values from VASP
! * space-group type: P-62m, No. 189
! * raw formation energy: -2.858 eV per atom
&SYSTEM
  ibrav = 0, nat = 20, ntyp = 4
/
ATOMIC_SPECIES
K 39.10 K.upf
Ta 180.95 Ta.upf
B 10.81 B.upf
O 16.00 O.upf
ATOMIC_POSITIONS angstrom
K -1.777 3.078 0.000
K 3.554 0.000 0.000
K 2.627 4.551 0.000
Ta -3.316 5.744 1.955
Ta 1.088 1.885 1.955
Ta 6.632 0.000 1.955
B 0.000 5.086 1.955
B 4.404 2.543 1.955
O -0.791 1.371 1.955
O -3.242 5.616 0.000
O 1.583 0.000 1.955
O -1.365 5.224 1.955
O 1.162 2.012 0.000
O 0.563 3.835 1.955
O 0.802 6.198 1.955
O 3.040 2.405 1.955
O 5.206 1.430 1.955
O 6.485 0.000 0.000
O 4.967 3.794 1.955
O 3.613 6.258 1.955
CELL_PARAMETERS angstrom
8.809 0.000 0.000
-4.404 7.628 0.000
0.000 0.000 3.910

# 9
! Cu3Ag meta-GGA SCAN PBEsol geometry; values from VASP
! * space-group type: Cmmm, No. 65
! * formation energy from the elements: 0.121 eV per atom
&SYSTEM
  ibrav = 0, nat = 8, ntyp = 2
/
ATOMIC_SPECIES
Cu 63.55 Cu.upf
Ag 107.87 Ag.upf
ATOMIC_POSITIONS angstrom
Cu 0.000 0.000 0.000
Cu 1.316 1.831 1.320
Cu 1.316 5.492 1.320
Cu 2.633 3.661 0.000
Cu 3.949 1.831 1.320
Cu 3.949 5.492 1.320
Ag 0.000 3.661 0.000
Ag 2.633 0.000 0.000
CELL_PARAMETERS angstrom
5.266 0.000 0.000
0.000 7.322 0.000
0.000 0.000 2.640

# 10
! Mg2AgSb meta-GGA SCAN PBEsol geometry; values from VASP
! * space-group type: F-43m, No. 216
! * raw formation energy: -0.023 eV per atom
&SYSTEM
  ibrav = 0, nat = 16, ntyp = 3
/
ATOMIC_SPECIES
Mg 24.30 Mg.upf
Ag 107.87 Ag.upf
Sb 121.76 Sb.upf
ATOMIC_POSITIONS angstrom
Mg 0.000 0.000 0.000
Mg 0.000 3.507 3.507
Mg 1.754 1.754 1.754
Mg 1.754 5.261 5.261
Mg 3.507 0.000 3.507
Mg 3.507 3.507 0.000
Mg 5.261 1.754 5.261
Mg 5.261 5.261 1.754
Ag 1.754 1.754 5.261
Ag 1.754 5.261 1.754
Ag 5.261 1.754 1.754
Ag 5.261 5.261 5.261
Sb 0.000 0.000 3.507
Sb 0.000 3.507 0.000
Sb 3.507 0.000 0.000
Sb 3.507 3.507 3.507
CELL_PARAMETERS angstrom
7.015 0.000 0.000
0.000 7.015 0.000
0.000 0.000 7.015

# 11
! TlH3Pb meta-GGA SCAN PBEsol geometry; values from VASP
! * total energy: -31.00 eV/atom
! * space-group type: Pm-3m, No. 221
&SYSTEM
  ibrav = 0, nat = 5, ntyp = 3
/
ATOMIC_SPECIES
Tl 204.38 Tl.upf
H 1.01 H.upf
Pb 207.20 Pb.upf
ATOMIC_POSITIONS angstrom
Tl 0.000 0.000 0.000
H 0.000 0.000 2.069
H 0.000 2.069 0.000
H 2.069 0.000 0.000
Pb 2.069 2.069 2.069
CELL_PARAMETERS angstrom
4.137 0.000 0.000
0.000 4.137 0.000
0.000 0.000 4.137

# 12
! Y2ZrW meta-GGA SCAN PBEsol geometry; values from VASP
! * space-group type: I-4m2, No. 119
! * polymorph energy (0 for the lowest one): 0 meV per atom
! * formation energy from the elements: 0.469 eV per atom
&SYSTEM
  ibrav = 0, nat = 8, ntyp = 3
/
ATOMIC_SPECIES
Y 88.91 Y.upf
Zr 91.22 Zr.upf
W 183.84 W.upf
ATOMIC_POSITIONS angstrom
Y 0.000 0.000 0.000
Y 0.000 2.464 1.837
Y 2.464 0.000 5.512
Y 2.464 2.464 3.675
Zr 0.000 0.000 3.675
Zr 2.464 2.464 0.000
W 0.000 2.464 5.512
W 2.464 0.000 1.837
CELL_PARAMETERS angstrom
4.927 0.000 0.000
0.000 4.927 0.000
0.000 0.000 7.349

# 13
! Be2Al2Cd meta-GGA SCAN PBEsol geometry; values from VASP
! * space-group type: I4/mmm, No. 139
! * formation energy from the elements: 0.413 eV per atom
&SYSTEM
  ibrav = 0, nat = 10, ntyp = 3
/
ATOMIC_SPECIES
Be 9.01 Be.upf
Al 26.98 Al.upf
Cd 112.41 Cd.upf
ATOMIC_POSITIONS angstrom
Be 0.000 1.838 2.891
Be 0.000 1.838 8.672
Be 1.838 0.000 2.891
Be 1.838 0.000 8.672
Al 0.000 0.000 1.312
Al 0.000 0.000 10.250
Al 1.838 1.838 4.469
Al 1.838 1.838 7.093
Cd 0.000 0.000 5.781
Cd 1.838 1.838 0.000
CELL_PARAMETERS angstrom
3.675 0.000 0.000
0.000 3.675 0.000
0.000 0.000 11.562